Record 1
Crystalline Y2ScB2 at its relaxed geometry. Source: the Alexandria database, functional PBE.

Cell: 7.675 7.675 3.060 Å, 90.00 90.00 90.00°
Each line ends with the local moment (μB).
Fractional coordinates of all 10 atoms:
Y: 0.367 0.867 0.000  -0.02
Y: 0.867 0.633 0.000  -0.02
Y: 0.633 0.133 0.000  -0.02
Y: 0.133 0.367 0.000  -0.02
Sc: 0.000 0.000 0.000  0.06
Sc: 0.500 0.500 0.000  0.06
B: 0.170 0.670 0.500  0.00
B: 0.670 0.830 0.500  0.00
B: 0.830 0.330 0.500  0.00
B: 0.330 0.170 0.500  0.00

Values from the calculation:
N(E_F) = 4.4 states/eV per cell
E above lowest polymorph = 0.000 eV per atom

***

Record 2
Crystalline YScB at its relaxed geometry. Source: the Alexandria database, functional PBE.

Cell: 4.250 7.166 11.046 Å, 92.67 90.00 90.00°
Each line ends with the local moment (μB).
Fractional coordinates of all 18 atoms:
Y: 0.750 0.518 0.386  0.06
Y: 0.250 0.002 0.719  0.01
Y: 0.750 0.998 0.281  0.01
Y: 0.750 0.612 0.084  0.00
Y: 0.250 0.482 0.614  0.06
Y: 0.250 0.388 0.916  0.00
B: 0.250 0.757 0.884  0.00
B: 0.750 0.312 0.764  0.00
B: 0.750 0.798 0.562  -0.01
B: 0.750 0.243 0.116  0.00
B: 0.250 0.202 0.438  -0.01
B: 0.250 0.688 0.236  0.00
Sc: 0.250 0.930 0.075  0.00
Sc: 0.250 0.847 0.447  0.05
Sc: 0.750 0.676 0.778  0.01
Sc: 0.750 0.153 0.553  0.05
Sc: 0.250 0.324 0.222  0.01
Sc: 0.750 0.070 0.925  0.00

Values from the calculation:
N(E_F) = 14.4 states/eV per cell

***

Record 3
Crystalline Y2ScB2 at its relaxed geometry. Source: the Alexandria database, functional PBE.

Cell: 4.471 4.471 6.159 Å, 68.72 68.72 90.00°
Each line ends with the local moment (μB).
Fractional coordinates of all 5 atoms:
Y: 0.346 0.346 0.309  0.09
Y: 0.654 0.654 0.691  0.09
Sc: 0.000 0.000 0.000  0.30
B: 0.750 0.250 0.500  -0.01
B: 0.250 0.750 0.500  -0.01

Values from the calculation:
N(E_F) = 3.9 states/eV per cell
E above lowest polymorph = 0.037 eV per atom

***

Record 4
Crystalline ScZnB3 at its relaxed geometry. Source: the Alexandria database, functional PBE.

Cell: 4.381 4.381 4.381 Å, 90.00 90.00 90.00°
Fractional coordinates of all 5 atoms:
Sc: 0.000 0.000 0.000
Zn: 0.500 0.500 0.500
B: 0.000 0.500 0.000
B: 0.000 0.000 0.500
B: 0.500 0.000 0.000

Values from the calculation:
N(E_F) = 2.8 states/eV per cell
E above lowest polymorph = 0.833 eV per atom

***

Record 5
Crystalline Sc2ZnB at its relaxed geometry. Source: the Alexandria database, functional PBE.

Cell: 6.891 6.891 5.759 Å, 53.25 53.25 90.00°
Fractional coordinates of all 8 atoms:
Sc: 0.570 0.125 0.250
Sc: 0.180 0.625 0.250
Sc: 0.375 0.430 0.750
Sc: 0.875 0.820 0.750
Zn: 0.000 0.000 0.000
Zn: 0.750 0.250 0.500
B: 0.500 0.500 0.000
B: 0.250 0.750 0.500

Values from the calculation:
N(E_F) = 5.3 states/eV per cell

***

Record 6
Crystalline ScZn4B2 at its relaxed geometry. Source: the Alexandria database, functional PBE.

Cell: 5.140 5.140 6.711 Å, 67.49 67.49 90.00°
Each line ends with the local moment (μB).
Fractional coordinates of all 7 atoms:
Sc: 0.000 0.000 0.000  0.38
Zn: 0.752 0.752 0.496  0.02
Zn: 0.248 0.248 0.504  0.02
Zn: 0.000 0.500 0.000  0.04
Zn: 0.500 0.000 0.000  0.04
B: 0.570 0.570 0.861  0.01
B: 0.430 0.430 0.139  0.01

Values from the calculation:
N(E_F) = 5.0 states/eV per cell

***

Record 7
Crystalline ScZn3B at its relaxed geometry. Source: the Alexandria database, functional PBE.

Cell: 4.219 4.219 4.219 Å, 90.00 90.00 90.00°
Fractional coordinates of all 5 atoms:
Sc: 0.500 0.500 0.500
Zn: 0.000 0.500 0.000
Zn: 0.000 0.000 0.500
Zn: 0.500 0.000 0.000
B: 0.000 0.000 0.000

Values from the calculation:
N(E_F) = 3.8 states/eV per cell
E above lowest polymorph = 0.000 eV per atom

***

Record 8
Crystalline ScZnB at its relaxed geometry. Source: the Alexandria database, functional PBE.

Cell: 5.207 4.110 7.575 Å, 90.00 90.00 90.00°
Fractional coordinates of all 12 atoms:
Sc: 0.207 0.250 0.416
Sc: 0.293 0.750 0.916
Sc: 0.793 0.750 0.584
Sc: 0.707 0.250 0.084
Zn: 0.997 0.250 0.796
Zn: 0.503 0.750 0.296
Zn: 0.003 0.750 0.204
Zn: 0.497 0.250 0.704
B: 0.702 0.250 0.410
B: 0.798 0.750 0.910
B: 0.298 0.750 0.590
B: 0.202 0.250 0.090

Values from the calculation:
N(E_F) = 2.2 states/eV per cell
E above lowest polymorph = 0.399 eV per atom

***

Record 9
Crystalline Sc2ZnB2 at its relaxed geometry. Source: the Alexandria database, functional PBE.

Cell: 6.254 6.254 3.459 Å, 90.00 90.00 90.00°
Fractional coordinates of all 10 atoms:
Sc: 0.182 0.682 0.500
Sc: 0.682 0.818 0.500
Sc: 0.818 0.318 0.500
Sc: 0.318 0.182 0.500
Zn: 0.000 0.000 0.000
Zn: 0.500 0.500 0.000
B: 0.406 0.906 0.000
B: 0.906 0.594 0.000
B: 0.594 0.094 0.000
B: 0.094 0.406 0.000

Values from the calculation:
N(E_F) = 4.7 states/eV per cell

***

Record 10
Crystalline ScZnB at its relaxed geometry. Source: the Alexandria database, functional PBE.

Cell: 3.649 3.178 7.248 Å, 90.02 75.46 90.00°
Fractional coordinates of all 6 atoms:
Sc: 0.330 0.890 0.011
Sc: 0.153 0.390 0.367
Zn: 0.539 0.891 0.594
Zn: 0.944 0.390 0.784
B: 0.772 0.390 0.129
B: 0.712 0.890 0.250

Values from the calculation:
N(E_F) = 2.2 states/eV per cell
E above lowest polymorph = 0.004 eV per atom

***

Record 11
Crystalline ScZnB at its relaxed geometry. Source: the Alexandria database, functional PBE.

Cell: 4.831 3.156 5.725 Å, 73.98 96.29 90.00°
Fractional coordinates of all 6 atoms:
Sc: 0.274 0.836 0.964
Sc: 0.588 0.111 0.414
Zn: 0.106 0.558 0.521
Zn: 0.755 0.390 0.857
B: 0.028 0.215 0.207
B: 0.833 0.732 0.172

Values from the calculation:
N(E_F) = 2.8 states/eV per cell
E above lowest polymorph = 0.138 eV per atom

***

Record 12
Crystalline Sc2ZnB at its relaxed geometry. Source: the Alexandria database, functional PBE.

Cell: 9.420 9.420 9.420 Å, 19.48 19.48 19.48°
Fractional coordinates of all 4 atoms:
Sc: 0.914 0.914 0.914
Sc: 0.086 0.086 0.086
Zn: 0.500 0.500 0.500
B: 0.000 0.000 0.000

Values from the calculation:
N(E_F) = 3.4 states/eV per cell

***

These records have energy relative to the elements values of 0.45, -0.09, 0.48, 2.05, 0.13, 0.95, 0.21, -0.07, -0.43, -0.46, -0.33, 0.79 eV per atom, in the order they appear.